Record 1
HgOsO2: relaxed, GGA-PBE.

```
data_HgOsO2
_cell_length_a 2.8384
_cell_length_b 2.8384
_cell_length_c 24.1261
_cell_angle_alpha 90.00
_cell_angle_beta 90.00
_cell_angle_gamma 120.00
_space_group_name_H-M_alt 'R -3 m'
_space_group_IT_number 166
_space_group_name_Hall '-R 3 2"'
loop_
_atom_site_label
_atom_site_type_symbol
_atom_site_fract_x
_atom_site_fract_y
_atom_site_fract_z
Hg1 Hg 0.0000 0.0000 0.0000
Os1 Os 0.0000 0.0000 0.5000
O1 O 0.0000 0.0000 0.1134
```

Calculated values
**Total DFT energy (no corrections)**: -5.753 eV/atom
**Spin magnetization**: 0.000 μB per formula unit

Record 2
Cs2Sr2Li: relaxed, GGA-PBE.

```
data_Cs2Sr2Li
_cell_length_a 5.490
_cell_length_b 5.490
_cell_length_c 25.474
_cell_angle_alpha 90.00
_cell_angle_beta 90.00
_cell_angle_gamma 90.00
_space_group_name_H-M_alt 'I 4/m m m'
_space_group_IT_number 139
_space_group_name_Hall '-I 4 2'
loop_
_atom_site_label
_atom_site_type_symbol
_atom_site_fract_x
_atom_site_fract_y
_atom_site_fract_z
Cs1 Cs 0.000 0.000 0.092
Sr1 Sr 0.000 0.500 0.250
Li1 Li 0.000 0.000 0.500
```

Calculated values
**Excess energy over the best structure of this formula in the dataset**: 89.9 meV per atom
**Total DFT energy (no corrections)**: -1.078 eV/atom
**E_form**: 0.319 eV per atom
**Spin magnetization**: 0.000 μB per formula unit

Record 3
Th2Pd6Rh: relaxed, GGA-PBE.

```
data_Th2Pd6Rh
_cell_length_a 12.672
_cell_length_b 4.116
_cell_length_c 6.793
_cell_angle_alpha 90.00
_cell_angle_beta 110.02
_cell_angle_gamma 90.00
_space_group_name_H-M_alt 'C 1 2/m 1'
_space_group_IT_number 12
loop_
_space_group_symop_operation_xyz
'x,y,z'
'-x,-y,-z'
'-x,y,-z'
'x,-y,z'
'x+1/2,y+1/2,z'
'-x+1/2,-y+1/2,-z'
'-x+1/2,y+1/2,-z'
'x+1/2,-y+1/2,z'
loop_
_atom_site_label
_atom_site_type_symbol
_atom_site_fract_x
_atom_site_fract_y
_atom_site_fract_z
Th1 Th 0.062 0.000 0.304
Pd1 Pd 0.112 0.500 0.671
Pd2 Pd 0.172 0.000 0.998
Pd3 Pd 0.228 0.500 0.325
Rh1 Rh 0.000 0.500 0.000
```

Calculated values
**Total DFT energy (no corrections)**: -6.634 eV/atom
**E_form**: -0.706 eV per atom
**Spin magnetization**: 0.000 μB per formula unit